i | Ge2W2Se | PBE | optimized geometry

```
Ge2W2Se
1.0
3.5404 0.0000 0.0000
0.0000 3.5404 0.0000
0.0000 0.0000 13.5217
Ge W Se
4 4 2
direct
0.0000 0.5000 0.2500
0.0000 0.5000 0.7500
0.5000 0.0000 0.2500
0.5000 0.0000 0.7500
0.0000 0.0000 0.1069
0.0000 0.0000 0.8931
0.5000 0.5000 0.3931
0.5000 0.5000 0.6069
0.0000 0.0000 0.5000
0.5000 0.5000 0.0000
```

Computed properties:
As for the volume: 169.5 Å³ per cell.


ii | Ge2W2Se | PBE | optimized geometry

```
Ge2W2Se
1.0
7.1627 0.0000 0.0000
0.0000 7.1627 0.0000
0.0000 0.0000 3.2729
Ge W Se
4 4 2
direct
0.1399 0.3601 0.0000
0.3601 0.8601 0.0000
0.6399 0.1399 0.0000
0.8601 0.6399 0.0000
0.1520 0.6520 0.5000
0.3481 0.1520 0.5000
0.6520 0.8480 0.5000
0.8480 0.3481 0.5000
0.0000 0.0000 0.5000
0.5000 0.5000 0.5000
```

Computed properties:
As for the volume: 167.9 Å³ per cell.


Compare the structures above. Which one is the most stable? ii is.